# Cs2ErBSe4

A geometry-optimized Cs2ErBSe4 structure (PBE-GGA, the Alexandria database).

The structure in POSCAR format:
```
Cs2ErBSe4
1.0
-5.8891 0.1465 -1.3494
-4.5049 -3.7696 5.7176
-4.1531 11.3792 5.8271
Er B Cs Se
2 2 4 8
direct
0.0000 0.0000 0.0000
0.7500 0.5000 0.5000
0.2500 0.5000 0.5000
0.5000 0.0000 0.0000
0.8220 0.0000 0.3560
0.5720 0.5000 0.8560
0.1780 0.0000 0.6440
0.9280 0.5000 0.1440
0.9316 0.6705 0.5988
0.5491 0.1705 0.0988
0.3979 0.6705 0.4012
0.8184 0.8295 0.9012
0.4696 0.3295 0.5988
0.3521 0.8295 0.0988
0.2009 0.3295 0.4012
0.2804 0.1705 0.9012
```

V in Å³/atom: 37.7
Total energy in eV per atom: -4.40
Mass density in kg/m³: 4183
SG: Fddd
Uncorrected formation energy in meV/atom: -1041